1.
# PBE PrHoCN2O2, optimized geometry
data_PrHoCN2O2
_symmetry_space_group_name_H-M 'P 1'
_symmetry_Int_Tables_number 1
_symmetry_space_group_name_Hall 'P 1'
_cell_length_a 3.803
_cell_length_b 3.803
_cell_length_c 8.239
_cell_angle_alpha 90.00
_cell_angle_beta 90.00
_cell_angle_gamma 120.00
loop_
_atom_site_label
_atom_site_fract_x
_atom_site_fract_y
_atom_site_fract_z
Pr1 0.667 0.333 0.680
O1 0.667 0.333 0.387
O2 0.333 0.667 0.593
C1 0.000 0.000 0.006
Ho1 0.333 0.667 0.322
N1 0.000 0.000 0.156
N2 0.000 0.000 0.856
# Space-group type ... P3m1 (156)
# Calculated total energy ... -8.550 eV/atom
# Calculated density ... 6.08 g cm⁻³

2.
# PBE RbGdHgTe3, optimized geometry
data_RbGdHgTe3
_symmetry_space_group_name_H-M 'P 1'
_symmetry_Int_Tables_number 1
_symmetry_space_group_name_Hall 'P 1'
_cell_length_a 9.284
_cell_length_b 4.521
_cell_length_c 11.330
_cell_angle_alpha 90.00
_cell_angle_beta 109.43
_cell_angle_gamma 90.00
loop_
_atom_site_label
_atom_site_fract_x
_atom_site_fract_y
_atom_site_fract_z
Hg1 0.083 0.250 0.120
Hg2 0.917 0.750 0.880
Gd1 0.318 0.750 0.364
Gd2 0.682 0.250 0.636
Te1 0.082 0.250 0.367
Te2 0.755 0.250 0.940
Te3 0.543 0.250 0.352
Te4 0.245 0.750 0.060
Te5 0.918 0.750 0.633
Te6 0.457 0.750 0.648
Rb1 0.248 0.250 0.785
Rb2 0.752 0.750 0.215
# Space-group type ... P2_1/m (11)
# Calculated total energy ... -3.516 eV/atom
# Calculated density ... 6.12 g cm⁻³

3.
# PBE CuTe, optimized geometry
data_CuTe
_symmetry_space_group_name_H-M 'P 1'
_symmetry_Int_Tables_number 1
_symmetry_space_group_name_Hall 'P 1'
_cell_length_a 4.170
_cell_length_b 4.170
_cell_length_c 4.170
_cell_angle_alpha 60.00
_cell_angle_beta 60.00
_cell_angle_gamma 60.00
loop_
_atom_site_label
_atom_site_fract_x
_atom_site_fract_y
_atom_site_fract_z
Cu1 0.000 0.000 0.000
Te1 0.250 0.250 0.250
# Space-group type ... F-43m (216)
# Calculated total energy ... -3.459 eV/atom
# Calculated density ... 6.19 g cm⁻³

4.
# PBE Tm2PtO4, optimized geometry
data_Tm2PtO4
_symmetry_space_group_name_H-M 'P 1'
_symmetry_Int_Tables_number 1
_symmetry_space_group_name_Hall 'P 1'
_cell_length_a 6.614
_cell_length_b 6.614
_cell_length_c 6.614
_cell_angle_alpha 119.99
_cell_angle_beta 90.02
_cell_angle_gamma 119.99
loop_
_atom_site_label
_atom_site_fract_x
_atom_site_fract_y
_atom_site_fract_z
Pt1 0.000 0.000 0.000
Pt2 0.750 0.500 0.250
O1 0.612 0.776 0.388
O2 0.164 0.776 0.388
O3 0.138 0.276 0.414
O4 0.138 0.276 0.862
O5 0.138 0.724 0.862
O6 0.612 0.224 0.388
O7 0.586 0.724 0.862
O8 0.612 0.224 0.836
Tm1 0.875 0.250 0.625
Tm2 0.375 0.750 0.125
Tm3 0.375 0.250 0.625
Tm4 0.375 0.750 0.625
# Space-group type ... Fd-3m (227)
# Calculated total energy ... -7.205 eV/atom
# Calculated density ... 9.69 g cm⁻³